Entry 1:
This record from the Alexandria database describes AcZnIn after structural relaxation. The functional is GGA-PBE.

a = 5.0256 Å, b = 5.0256 Å, c = 5.0256 Å
α = 60.00°, β = 60.00°, γ = 60.00°
Fractional positions:
Ac  0.0000  0.0000  0.0000
Zn  0.2500  0.2500  0.2500
In  0.5000  0.5000  0.5000

SG: No. 216
Total energy, eV/atom: -3.061



Entry 2:
This record from the Alexandria database describes AcReO4 after structural relaxation. The functional is GGA-PBE.

a = 3.9735 Å, b = 5.7402 Å, c = 7.8275 Å
α = 90.00°, β = 104.70°, γ = 90.00°
Each line ends with the local moment (μB).
Fractional positions:
Ac  0.3252  0.7500  0.6505  0.00
Ac  0.6748  0.2500  0.3495  0.00
Re  0.0829  0.7500  0.1657  -0.13
Re  0.9171  0.2500  0.8343  -0.13
O  0.1814  0.5160  0.3627  0.00
O  0.8186  0.4840  0.6373  0.00
O  0.1814  0.9840  0.3627  0.00
O  0.8186  0.0160  0.6373  0.00
O  0.5863  0.7500  0.1726  -0.03
O  0.4137  0.2500  0.8274  -0.03
O  0.0000  0.5000  0.0000  -0.01
O  0.0000  0.0000  0.0000  -0.01

Formation energy without anion corrections, kJ/mol of formula units: -1377.0
SG: No. 63



Entry 3:
This record from the Alexandria database describes Al2TeIr after structural relaxation. The functional is GGA-PBE.

a = 4.4103 Å, b = 4.4041 Å, c = 3.6746 Å
α = 90.00°, β = 90.00°, γ = 90.00°
Fractional positions:
Ir  0.5000  0.0000  0.5000
Te  0.0000  0.5000  0.5000
Al  0.0000  0.0000  0.0000
Al  0.5000  0.5000  0.0000

Formation energy without anion corrections, kJ/mol of formula units: 66.7
SG: No. 123



Entry 4:
This record from the Alexandria database describes V3Re2Mo8 after structural relaxation. The functional is GGA-PBE.

a = 4.5616 Å, b = 6.7808 Å, c = 7.6659 Å
α = 116.25°, β = 90.05°, γ = 90.00°
Fractional positions:
V  0.5000  0.0000  0.0000
V  0.0000  0.2959  0.0000
V  0.0000  0.7041  0.0000
Re  0.5003  0.2175  0.4350
Re  0.4997  0.7825  0.5651
Mo  0.9994  0.6698  0.3396
Mo  0.0006  0.3302  0.6604
Mo  0.9999  0.1206  0.2413
Mo  0.0001  0.8794  0.7587
Mo  0.5004  0.5962  0.7859
Mo  0.5004  0.1898  0.7859
Mo  0.4996  0.8102  0.2141
Mo  0.4996  0.4038  0.2141

SG: No. 12
Total energy, eV/atom: -10.248



Entry 5:
This record from the Alexandria database describes YSbC3 after structural relaxation. The functional is GGA-PBE.

a = 4.2252 Å, b = 4.2252 Å, c = 4.2252 Å
α = 90.00°, β = 90.00°, γ = 90.00°
Fractional positions:
Y  0.5000  0.5000  0.5000
Sb  0.0000  0.0000  0.0000
C  0.0000  0.5000  0.0000
C  0.0000  0.0000  0.5000
C  0.5000  0.0000  0.0000

Formation energy without anion corrections, kJ/mol of formula units: 876.9
SG: No. 221



Entry 6:
This record from the Alexandria database describes LiGdThPd after structural relaxation. The functional is GGA-PBE.

a = 5.1233 Å, b = 5.1233 Å, c = 5.1233 Å
α = 60.00°, β = 60.00°, γ = 60.00°
Each line ends with the local moment (μB).
Fractional positions:
Gd  0.0000  0.0000  0.0000  7.12
Pd  0.7500  0.7500  0.7500  0.02
Th  0.5000  0.5000  0.5000  0.12
Li  0.2500  0.2500  0.2500  0.01

SG: No. 216
Total energy, eV/atom: -7.395



no.,DOS(E_F) (states/eV per cell)
1,1.19
2,4.03
3,2.70
4,12.40
5,4.81
6,5.12